Entry 1:
# K2TaCo | Alexandria via LeMat-Bulk | PBE | relaxed
data_K2TaCo
_cell_length_a 2.8082
_cell_length_b 5.5361
_cell_length_c 6.0134
_cell_angle_alpha 90.00
_cell_angle_beta 90.00
_cell_angle_gamma 90.00
_symmetry_space_group_name_H-M 'P 1'
_symmetry_Int_Tables_number 1
_symmetry_space_group_name_Hall 'P 1'
loop_
_atom_site_label
_atom_site_fract_x
_atom_site_fract_y
_atom_site_fract_z
K1 0.0000 0.2457 0.0000
K2 0.0000 0.7543 0.0000
Ta1 0.5000 0.5000 0.5000
Co1 0.5000 0.0000 0.5000
# - SG = Pmmm (47)



Entry 2:
# K4TaCo | Alexandria via LeMat-Bulk | PBE | relaxed
data_K4TaCo
_cell_length_a 6.9608
_cell_length_b 6.9608
_cell_length_c 6.9608
_cell_angle_alpha 60.00
_cell_angle_beta 60.00
_cell_angle_gamma 60.00
_symmetry_space_group_name_H-M 'P 1'
_symmetry_Int_Tables_number 1
_symmetry_space_group_name_Hall 'P 1'
loop_
_atom_site_label
_atom_site_fract_x
_atom_site_fract_y
_atom_site_fract_z
K1 0.1252 0.1252 0.1252
K2 0.1252 0.1252 0.6245
K3 0.1252 0.6245 0.1252
K4 0.6245 0.1252 0.1252
Ta1 0.7500 0.7500 0.7500
Co1 0.5000 0.5000 0.5000
# - SG = F-43m (216)



Entry 3:
# KTaCo2 | Alexandria via LeMat-Bulk | PBE | relaxed
data_KTaCo2
_cell_length_a 4.5167
_cell_length_b 4.5167
_cell_length_c 4.5167
_cell_angle_alpha 60.00
_cell_angle_beta 60.00
_cell_angle_gamma 60.00
_symmetry_space_group_name_H-M 'P 1'
_symmetry_Int_Tables_number 1
_symmetry_space_group_name_Hall 'P 1'
loop_
_atom_site_label
_atom_site_fract_x
_atom_site_fract_y
_atom_site_fract_z
K1 0.0000 0.0000 0.0000
Ta1 0.5000 0.5000 0.5000
Co1 0.2500 0.2500 0.2500
Co2 0.7500 0.7500 0.7500
# - SG = Fm-3m (225)



Entry 4:
# KTaCo2 | Alexandria via LeMat-Bulk | PBE | relaxed
data_KTaCo2
_cell_length_a 5.4888
_cell_length_b 5.4888
_cell_length_c 5.4888
_cell_angle_alpha 140.44
_cell_angle_beta 140.44
_cell_angle_gamma 57.18
_symmetry_space_group_name_H-M 'P 1'
_symmetry_Int_Tables_number 1
_symmetry_space_group_name_Hall 'P 1'
loop_
_atom_site_label
_atom_site_fract_x
_atom_site_fract_y
_atom_site_fract_z
K1 0.0000 0.0000 0.0000
Ta1 0.2500 0.7500 0.5000
Co1 0.5000 0.5000 0.0000
Co2 0.7500 0.2500 0.5000
# - SG = I-4m2 (119)



Entry 5:
# K2TaCo | Alexandria via LeMat-Bulk | PBE | relaxed
data_K2TaCo
_cell_length_a 5.3615
_cell_length_b 5.3615
_cell_length_c 5.3615
_cell_angle_alpha 60.00
_cell_angle_beta 60.00
_cell_angle_gamma 60.00
_symmetry_space_group_name_H-M 'P 1'
_symmetry_Int_Tables_number 1
_symmetry_space_group_name_Hall 'P 1'
loop_
_atom_site_label
_atom_site_fract_x
_atom_site_fract_y
_atom_site_fract_z
K1 0.2500 0.2500 0.2500
K2 0.7500 0.7500 0.7500
Ta1 0.0000 0.0000 0.0000
Co1 0.5000 0.5000 0.5000
# - SG = Fm-3m (225)



Entry 6:
# K2TaCo | Alexandria via LeMat-Bulk | PBE | relaxed
data_K2TaCo
_cell_length_a 6.6252
_cell_length_b 6.6252
_cell_length_c 6.6252
_cell_angle_alpha 146.63
_cell_angle_beta 146.63
_cell_angle_gamma 47.91
_symmetry_space_group_name_H-M 'P 1'
_symmetry_Int_Tables_number 1
_symmetry_space_group_name_Hall 'P 1'
loop_
_atom_site_label
_atom_site_fract_x
_atom_site_fract_y
_atom_site_fract_z
K1 0.2500 0.7500 0.5000
K2 0.7500 0.2500 0.5000
Ta1 0.0000 0.0000 0.0000
Co1 0.5000 0.5000 0.0000
# - SG = I4/mmm (139)



Entry 7:
# KTb2Co | Alexandria via LeMat-Bulk | PBE | relaxed
data_KTb2Co
_cell_length_a 11.1659
_cell_length_b 11.1659
_cell_length_c 11.1659
_cell_angle_alpha 20.27
_cell_angle_beta 20.27
_cell_angle_gamma 20.27
_symmetry_space_group_name_H-M 'P 1'
_symmetry_Int_Tables_number 1
_symmetry_space_group_name_Hall 'P 1'
loop_
_atom_site_label
_atom_site_fract_x
_atom_site_fract_y
_atom_site_fract_z
K1 0.0000 0.0000 0.0000
Tb1 0.1241 0.1241 0.1241
Tb2 0.8759 0.8759 0.8759
Co1 0.5000 0.5000 0.5000
# - SG = R-3m (166)



Entry 8:
# KCoTc | Alexandria via LeMat-Bulk | PBE | relaxed
data_KCoTc
_cell_length_a 2.8160
_cell_length_b 2.8160
_cell_length_c 7.7840
_cell_angle_alpha 90.00
_cell_angle_beta 90.00
_cell_angle_gamma 120.00
_symmetry_space_group_name_H-M 'P 1'
_symmetry_Int_Tables_number 1
_symmetry_space_group_name_Hall 'P 1'
loop_
_atom_site_label
_atom_site_fract_x
_atom_site_fract_y
_atom_site_fract_z
K1 0.0000 0.0000 0.0000
Co1 0.3333 0.6667 0.6323
Tc1 0.6667 0.3333 0.3910
# - SG = P3m1 (156)



Summary of total magnetic moment in Bohr magnetons per cell
0.43; 6.30; 0.22; 0.83; 0.00; 0.60; 0.00; 1.51
(order as listed above)
Summary of formation energy in meV/atom
1434.0; 1662.3; 1159.4; 1403.6; 2375.0; 1359.7; 62.5; 1008.1
(order as listed above)
Summary of ρ in kg/m³
5650; 2759; 8612; 8438; 4846; 6028; 4721; 6089
(order as listed above)